An optimized crystal structure of Ag5Hg3F12, computed with GGA-PBE.

Cell lengths 13.8145, 13.8145, 13.8145 Å; angles 90.00, 90.00, 90.00 degrees
Space group Ia-3d (No. 230)
Inequivalent atoms, fractional coordinates:
Ag  0.0000  0.0000  0.0000 [16 per cell]
Ag  0.0000  0.2500  0.3750 [24 per cell]
Hg  0.0000  0.2500  0.1250 [24 per cell]
F  0.0238  0.0830  0.6465 [96 per cell]

Summary:
Total moment, μB per atom: 0.061
Excess energy over the best structure of this formula in the dataset, eV/atom: 0.0418

***

An optimized crystal structure of AgHgF2, computed with GGA-PBE.

Cell lengths 14.7349, 3.6222, 5.8461 Å; angles 90.00, 108.02, 90.00 degrees
Space group C2/c (No. 15)
Inequivalent atoms, fractional coordinates:
Ag  0.2500  0.2500  0.0000 [4 per cell]
Hg  0.0000  0.0000  0.0000 [4 per cell]
F  0.1526  0.3431  0.6033 [8 per cell]

Summary:
Total moment, μB per atom: 0.000
Excess energy over the best structure of this formula in the dataset, eV/atom: 0.0059

***

An optimized crystal structure of AgHgF3, computed with GGA-PBE.

Cell lengths 6.0533, 6.5102, 6.6954 Å; angles 106.67, 90.27, 117.64 degrees
Space group P-1 (No. 2)
Inequivalent atoms, fractional coordinates:
Ag  0.2487  0.4980  0.0059 [2 per cell]
Hg  0.1501  0.3005  0.4701 [2 per cell]
F  0.0277  0.5565  0.7319 [2 per cell]
F  0.0535  0.1067  0.7260 [2 per cell]
F  0.4681  0.4456  0.2690 [2 per cell]

Summary:
Total moment, μB per atom: 0.000
Excess energy over the best structure of this formula in the dataset, eV/atom: 0.0448

***

An optimized crystal structure of Ag2Hg3F4, computed with GGA-PBE.

Cell lengths 6.3261, 8.0064, 8.2371 Å; angles 68.42, 77.21, 76.82 degrees
Space group P-1 (No. 2)
Inequivalent atoms, fractional coordinates:
Ag  0.0582  0.0796  0.1158 [2 per cell]
Ag  0.3829  0.9704  0.8333 [2 per cell]
Hg  0.1565  0.1299  0.5552 [2 per cell]
Hg  0.2863  0.5221  0.0310 [2 per cell]
Hg  0.4588  0.3297  0.5837 [2 per cell]
F  0.0643  0.3772  0.9023 [2 per cell]
F  0.1732  0.8230  0.5397 [2 per cell]
F  0.2721  0.2000  0.2445 [2 per cell]
F  0.3786  0.8392  0.1330 [2 per cell]

Summary:
Total moment, μB per atom: 0.000

***

An optimized crystal structure of Ag6Hg2F5, computed with GGA-PBE.

Cell lengths 11.3196, 6.8645, 11.2001 Å; angles 90.00, 99.17, 90.00 degrees
Space group C2/c (No. 15)
Inequivalent atoms, fractional coordinates:
Ag  0.0524  0.1144  0.1014 [8 per cell]
Ag  0.0654  0.3019  0.6331 [8 per cell]
Ag  0.1792  0.3326  0.3994 [8 per cell]
Hg  0.1549  0.0800  0.8690 [8 per cell]
F  0.0000  0.4067  0.2500 [4 per cell]
F  0.1309  0.4105  0.0364 [8 per cell]
F  0.2420  0.3799  0.7963 [8 per cell]

Summary:
Total moment, μB per atom: 0.000

***

An optimized crystal structure of AgHg2F6, computed with GGA-PBE.

Cell lengths 5.1078, 5.1078, 11.6193 Å; angles 90.00, 90.00, 90.00 degrees
Space group P4_2/mnm (No. 136)
Inequivalent atoms, fractional coordinates:
Ag  0.0000  0.0000  0.0000 [2 per cell]
Hg  0.0000  0.0000  0.3342 [4 per cell]
F  0.1989  0.1989  0.1638 [8 per cell]
F  0.2107  0.2107  0.5000 [4 per cell]

Summary:
Total moment, μB per atom: 0.099
Excess energy over the best structure of this formula in the dataset, eV/atom: 0.0000

***

An optimized crystal structure of Ag4HgF7, computed with GGA-PBE.

Cell lengths 11.9264, 4.6015, 8.3407 Å; angles 90.00, 119.69, 90.00 degrees
Space group C2/m (No. 12)
Inequivalent atoms, fractional coordinates:
Ag  0.0774  0.0000  0.2447 [4 per cell]
Ag  0.1932  0.5000  0.1003 [4 per cell]
Hg  0.0000  0.5000  0.5000 [2 per cell]
F  0.0000  0.0000  0.5000 [2 per cell]
F  0.0578  0.5000  0.2285 [4 per cell]
F  0.1345  0.0000  0.9414 [4 per cell]
F  0.2115  0.5000  0.6592 [4 per cell]

Summary:
Total moment, μB per atom: 0.000
Excess energy over the best structure of this formula in the dataset, eV/atom: 0.0237

***

An optimized crystal structure of AgHg2F2, computed with GGA-PBE.

Cell lengths 3.1887, 5.5233, 5.6499 Å; angles 85.02, 84.30, 80.01 degrees
Space group P-1 (No. 2)
Inequivalent atoms, fractional coordinates:
Ag  0.0000  0.0000  0.0000 [1 per cell]
Hg  0.3647  0.2909  0.2749 [2 per cell]
F  0.1950  0.7059  0.3874 [2 per cell]

Summary:
Total moment, μB per atom: 0.000
Excess energy over the best structure of this formula in the dataset, eV/atom: 0.0000

***

An optimized crystal structure of AgHg2F6, computed with GGA-PBE.

Cell lengths 6.0146, 6.0146, 4.6728 Å; angles 90.00, 90.00, 120.00 degrees
Space group P-31m (No. 162)
Inequivalent atoms, fractional coordinates:
Ag  0.0000  0.0000  0.0000 [1 per cell]
Hg  0.3333  0.6667  0.5000 [2 per cell]
F  0.0000  0.3243  0.7476 [6 per cell]

Summary:
Total moment, μB per atom: 0.116
Excess energy over the best structure of this formula in the dataset, eV/atom: 0.0357

***

An optimized crystal structure of AgHg3F4, computed with GGA-PBE.

Cell lengths 8.6435, 6.1218, 5.5658 Å; angles 90.00, 90.00, 90.00 degrees
Space group Pmn2_1 (No. 31)
Inequivalent atoms, fractional coordinates:
Ag  0.0000  0.1910  0.0000 [2 per cell]
Hg  0.0000  0.9050  0.6254 [2 per cell]
Hg  0.2171  0.2644  0.6254 [4 per cell]
F  0.0000  0.3599  0.3407 [2 per cell]
F  0.0000  0.8289  0.2146 [2 per cell]
F  0.1800  0.6399  0.7421 [4 per cell]

Summary:
Total moment, μB per atom: 0.000
Excess energy over the best structure of this formula in the dataset, eV/atom: 0.0328

***

An optimized crystal structure of Ag5Hg2F12, computed with GGA-PBE.

Cell lengths 12.0123, 6.6155, 8.3269 Å; angles 90.00, 100.04, 90.00 degrees
Space group C2/m (No. 12)
Inequivalent atoms, fractional coordinates:
Ag  0.0000  0.0000  0.0000 [2 per cell]
Ag  0.1558  0.5000  0.8490 [4 per cell]
Ag  0.2117  0.5000  0.2179 [4 per cell]
Hg  0.0000  0.2393  0.5000 [4 per cell]
F  0.0321  0.0000  0.3148 [4 per cell]
F  0.0435  0.5000  0.3365 [4 per cell]
F  0.1247  0.2609  0.0174 [8 per cell]
F  0.1839  0.2659  0.6811 [8 per cell]

Summary:
Total moment, μB per atom: 0.047
Excess energy over the best structure of this formula in the dataset, eV/atom: 0.0000

***

An optimized crystal structure of AgHgF3, computed with GGA-PBE.

Cell lengths 6.2516, 6.2516, 15.0677 Å; angles 90.00, 90.00, 120.00 degrees
Space group R-3 (No. 148, hexagonal axes)
Inequivalent atoms, fractional coordinates:
Ag  0.0000  0.0000  0.1334 [6 per cell]
Hg  0.0000  0.0000  0.3548 [6 per cell]
F  0.0153  0.7085  0.2526 [18 per cell]

Summary:
Total moment, μB per atom: 0.000
Excess energy over the best structure of this formula in the dataset, eV/atom: 0.0000

***

An optimized crystal structure of Ag2HgF11, computed with GGA-PBE.

Cell lengths 8.9299, 8.9764, 10.4663 Å; angles 90.00, 90.00, 90.00 degrees
Space group Ibam (No. 72)
Inequivalent atoms, fractional coordinates:
Ag  0.1716  0.1724  0.0000 [8 per cell]
Hg  0.0000  0.5000  0.2500 [4 per cell]
F  0.0000  0.0000  0.0000 [4 per cell]
F  0.0625  0.2825  0.1357 [16 per cell]
F  0.1732  0.1722  0.5000 [8 per cell]
F  0.2185  0.4364  0.3640 [16 per cell]

Summary:
Total moment, μB per atom: 0.000

***

An optimized crystal structure of Ag2Hg2F3, computed with GGA-PBE.

Cell lengths 3.1248, 5.8330, 7.5815 Å; angles 75.68, 78.25, 74.72 degrees
Space group P-1 (No. 2)
Inequivalent atoms, fractional coordinates:
Ag  0.2476  0.2966  0.2093 [2 per cell]
Hg  0.0937  0.1178  0.6974 [2 per cell]
F  0.0000  0.5000  0.5000 [1 per cell]
F  0.3786  0.3756  0.8647 [2 per cell]

Summary:
Total moment, μB per atom: 0.000

***

An optimized crystal structure of Ag6HgF8, computed with GGA-PBE.

Cell lengths 9.7584, 9.7584, 8.8175 Å; angles 90.00, 90.00, 120.00 degrees
Space group R-3 (No. 148, hexagonal axes)
Inequivalent atoms, fractional coordinates:
Ag  0.0089  0.2353  0.1654 [18 per cell]
Hg  0.0000  0.0000  0.5000 [3 per cell]
F  0.0000  0.0000  0.1614 [6 per cell]
F  0.0580  0.2474  0.6139 [18 per cell]

Summary:
Total moment, μB per atom: 0.000

***

An optimized crystal structure of Ag3HgF, computed with GGA-PBE.

Cell lengths 4.6586, 4.6586, 4.6586 Å; angles 90.00, 90.00, 90.00 degrees
Space group Pm-3m (No. 221)
Inequivalent atoms, fractional coordinates:
Ag  0.0000  0.0000  0.5000 [3 per cell]
Hg  0.5000  0.5000  0.5000 [1 per cell]
F  0.0000  0.0000  0.0000 [1 per cell]

Summary:
Total moment, μB per atom: 0.000
Excess energy over the best structure of this formula in the dataset, eV/atom: 0.0000

***

| no. | formation energy from raw total energies (kJ per mole of atoms) |
| --- | --- |
| 1 | -108.8 |
| 2 | -90.3 |
| 3 | -114.5 |
| 4 | -92.8 |
| 5 | -77.2 |
| 6 | -126.0 |
| 7 | -105.5 |
| 8 | -82.2 |
| 9 | -122.6 |
| 10 | -98.3 |
| 11 | -112.5 |
| 12 | -118.8 |
| 13 | -79.7 |
| 14 | -88.7 |
| 15 | -98.7 |
| 16 | -10.3 |